## P
UW: relaxed, PBE. Values from VASP.

Cell and atoms, written as Quantum ESPRESSO input:
```
&SYSTEM
  ibrav = 0, nat = 2, ntyp = 2
/
ATOMIC_SPECIES
U 238.03 U.upf
W 183.84 W.upf
ATOMIC_POSITIONS crystal
U 0.0000 0.0000 0.0000
W 0.2500 0.2500 0.2500
CELL_PARAMETERS angstrom
2.5538 -1.6652 2.8951
1.9083 2.4881 2.8007
-1.1738 -0.0907 4.0361
```

Output
**Symmetry**: No. 216

## Q
UW: relaxed, PBE. Values from VASP.

Cell and atoms, written as Quantum ESPRESSO input:
```
&SYSTEM
  ibrav = 0, nat = 2, ntyp = 2
/
ATOMIC_SPECIES
W 183.84 W.upf
U 238.03 U.upf
ATOMIC_POSITIONS crystal
W 0.3333 0.6667 0.2500
U 0.6667 0.3333 0.7500
CELL_PARAMETERS angstrom
3.0105 0.0000 0.0000
-1.5053 2.6072 0.0000
0.0000 0.0000 4.8657
```

Output
**Symmetry**: No. 187

Quick one: least stable of them? P